A plane-wave DFT calculation with PBE-GGA was carried out for a relaxed structure of La2Tm8Th3.

Cell: 6.5833 9.2010 8.7252 Å, 121.82 81.35 90.00°
Closest atoms and distances in Å follow each position.
Sites, in units of the cell vectors:
La: 0.1822 0.2207 0.4414  5 Tm 3.26-3.64, 1 Th 3.56
La: 0.8178 0.7793 0.5586  5 Tm 3.26-3.64, 1 Th 3.56
Tm: 0.1374 0.5773 0.1547  3 Tm 3.16-3.35, 1 La 3.34, 2 Th 3.42
Tm: 0.8626 0.4227 0.8453  3 Tm 3.16-3.35, 1 La 3.34, 2 Th 3.42
Tm: 0.6999 0.1966 0.3932  2 La 3.26-3.36, 4 Tm 3.40-3.46, 3 Th 3.40-3.58
Tm: 0.3001 0.8034 0.6068  2 La 3.26-3.36, 4 Tm 3.40-3.46, 3 Th 3.40-3.58
Tm: 0.4405 0.5665 0.7757  6 Tm 3.29-3.55, 2 Th 3.38-3.45, 1 La 3.64
Tm: 0.4405 0.2092 0.7757  6 Tm 3.29-3.55, 2 Th 3.38-3.45, 1 La 3.64
Tm: 0.5595 0.7908 0.2243  6 Tm 3.29-3.55, 2 Th 3.38-3.45, 1 La 3.64
Tm: 0.5595 0.4335 0.2243  6 Tm 3.29-3.55, 2 Th 3.38-3.45, 1 La 3.64
Th: 0.5000 0.0000 0.0000  6 Tm 3.40-3.45, 2 La 3.56, 4 Th 3.65
Th: 0.0000 0.1703 0.0000  1 Th 3.13, 4 Tm 3.38-3.42
Th: 0.0000 0.8297 0.0000  1 Th 3.13, 4 Tm 3.38-3.42

Output
Energy relative to the elements (meV per atom): 248.9
Total energy (Ry/atom): -0.3655

---

A plane-wave DFT calculation with PBE-GGA was carried out for a relaxed structure of AcDy2Co.

Cell: 3.5015 3.5015 9.1531 Å, 90.00 90.00 90.00°
Closest atoms and distances in Å follow each position.
Sites, in units of the cell vectors:
Ac: 0.5000 0.5000 0.5000  4 Ac 3.50, 8 Dy 3.88
Co: 0.5000 0.5000 0.0000  8 Dy 2.94
Dy: 0.0000 0.0000 0.8269  4 Co 2.94, 1 Dy 3.17
Dy: 0.0000 0.0000 0.1731  4 Co 2.94, 1 Dy 3.17

Output
Energy relative to the elements (meV per atom): -16.3
Total energy (Ry/atom): -0.3764
Distance to the lowest polymorph of the same formula (meV/atom): 57.0

---

A plane-wave DFT calculation with PBE-GGA was carried out for a relaxed structure of I.

Cell: 5.8737 5.8737 5.8737 Å, 93.75 93.75 150.35°
Closest atoms and distances in Å follow each position.
Sites, in units of the cell vectors:
I: 0.1250 0.8750 0.7500  2 I 3.01
I: 0.8750 0.1250 0.2500  2 I 3.01

Output
ΔE_f (raw) (meV/atom): 187
Total energy (Ry/atom): -0.1002
Distance to the lowest polymorph of the same formula (meV/atom): 186.6

---

A plane-wave DFT calculation with PBE-GGA was carried out for a relaxed structure of HfTlGa2Cl.

Cell: 5.3041 5.5997 5.3041 Å, 90.00 90.00 90.00°
Closest atoms and distances in Å follow each position.
Sites, in units of the cell vectors:
Tl: 0.0000 0.0000 0.0000  4 Ga 2.65, 2 Hf 2.80
Hf: 0.0000 0.5000 0.0000  2 Tl 2.80
Ga: 0.0000 0.0000 0.5000  2 Tl 2.65
Ga: 0.5000 0.0000 0.0000  2 Tl 2.65
Cl: 0.5000 0.5000 0.5000  4 Hf 3.75, 8 Ga 3.86

Output
ΔE_f (raw) (meV/atom): 849
Total energy (Ry/atom): -0.2349

---

A plane-wave DFT calculation with PBE-GGA was carried out for a relaxed structure of TbTh5Sc6.

Cell: 5.5095 7.4314 8.7168 Å, 90.00 71.58 90.00°
Closest atoms and distances in Å follow each position.
Sites, in units of the cell vectors:
Sc: 0.8311 0.7491 0.3378  7 Th 3.30-3.35, 1 Tb 3.36
Sc: 0.8311 0.2509 0.3378  7 Th 3.30-3.35, 1 Tb 3.36
Sc: 0.5000 0.2592 0.0000  6 Th 3.28-3.34, 2 Tb 3.36, 1 Sc 3.58
Sc: 0.5000 0.7408 0.0000  6 Th 3.28-3.34, 2 Tb 3.36, 1 Sc 3.58
Sc: 0.1689 0.7491 0.6622  7 Th 3.30-3.35, 1 Tb 3.36
Sc: 0.1689 0.2509 0.6622  7 Th 3.30-3.35, 1 Tb 3.36
Tb: 0.0000 0.0000 0.0000  8 Sc 3.36, 2 Th 3.72
Th: 0.6659 0.5000 0.6681  8 Sc 3.28-3.32
Th: 0.3353 0.0000 0.3293  8 Sc 3.32-3.34, 2 Th 3.72
Th: 0.0000 0.5000 0.0000  8 Sc 3.28-3.35
Th: 0.6647 0.0000 0.6707  8 Sc 3.32-3.34, 2 Th 3.72
Th: 0.3341 0.5000 0.3319  8 Sc 3.28-3.32

Output
Energy relative to the elements (meV per atom): 46.9
Total energy (Ry/atom): -0.4848

---

A plane-wave DFT calculation with PBE-GGA was carried out for a relaxed structure of Ta2BPb.

Cell: 5.5986 5.5986 6.9332 Å, 66.19 66.19 90.00°
Closest atoms and distances in Å follow each position.
Sites, in units of the cell vectors:
Pb: 0.0000 0.0000 0.0000  4 Ta 2.88
Pb: 0.7500 0.2500 0.5000  4 Ta 2.88
B: 0.5000 0.5000 0.0000  4 Ta 2.12
B: 0.2500 0.7500 0.5000  4 Ta 2.12
Ta: 0.5038 0.1250 0.2500  2 B 2.12
Ta: 0.2462 0.6250 0.2500  2 B 2.12
Ta: 0.3750 0.4962 0.7500  2 B 2.12
Ta: 0.8750 0.7538 0.7500  2 B 2.12

Output
Energy relative to the elements (meV per atom): 977.0
Total energy (Ry/atom): -0.5546
Distance to the lowest polymorph of the same formula (meV/atom): 0.0